# 1
The following is a DFT calculation (GGA-PBE) of crystalline La6CeO12 at its relaxed geometry.

Total moment: 0.116 μB per atom
Density of states at the Fermi level: 17.35 states/eV/f.u.
Energy relative to the elements, uncorrected: -3.234 eV/atom
SG: No. 148

Cell lengths 6.967, 6.967, 6.967 Å; angles 99.21, 99.21, 99.21 degrees
Fractional positions:
La 0.106 0.795 0.638
La 0.205 0.362 0.894
La 0.362 0.894 0.205
La 0.638 0.106 0.795
La 0.795 0.638 0.106
La 0.894 0.205 0.362
Ce 0.500 0.500 0.500
O 0.060 0.913 0.323
O 0.087 0.677 0.940
O 0.189 0.437 0.561
O 0.323 0.060 0.913
O 0.437 0.561 0.189
O 0.439 0.811 0.563
O 0.561 0.189 0.437
O 0.563 0.439 0.811
O 0.677 0.940 0.087
O 0.811 0.563 0.439
O 0.913 0.323 0.060
O 0.940 0.087 0.677

# 2
The following is a DFT calculation (GGA-PBE) of crystalline La2Ce2O7 at its relaxed geometry.

Total moment: 0.000 μB per atom
Density of states at the Fermi level: 0.00 states/eV/f.u.
Energy relative to the elements, uncorrected: -3.450 eV/atom
SG: No. 227

Cell lengths 7.937, 7.937, 7.937 Å; angles 60.00, 60.00, 60.00 degrees
Fractional positions:
La 0.000 0.000 0.000
La 0.000 0.000 0.500
La 0.000 0.500 0.000
La 0.500 0.000 0.000
Ce 0.000 0.500 0.500
Ce 0.500 0.000 0.500
Ce 0.500 0.500 0.000
Ce 0.500 0.500 0.500
O 0.125 0.125 0.125
O 0.156 0.156 0.594
O 0.156 0.594 0.156
O 0.156 0.594 0.594
O 0.406 0.406 0.844
O 0.406 0.844 0.406
O 0.406 0.844 0.844
O 0.594 0.156 0.156
O 0.594 0.156 0.594
O 0.594 0.594 0.156
O 0.844 0.406 0.406
O 0.844 0.406 0.844
O 0.844 0.844 0.406
O 0.875 0.875 0.875

# 3
The following is a DFT calculation (GGA-PBE) of crystalline LaCeO2 at its relaxed geometry.

Total moment: 0.024 μB per atom
Density of states at the Fermi level: 3.66 states/eV/f.u.
Energy relative to the elements, uncorrected: -2.858 eV/atom
SG: No. 166

Cell lengths 6.211, 6.211, 6.211 Å; angles 33.53, 33.53, 33.53 degrees
Fractional positions:
La 0.000 0.000 0.000
Ce 0.500 0.500 0.500
O 0.245 0.245 0.245
O 0.755 0.755 0.755

# 4
The following is a DFT calculation (GGA-PBE) of crystalline LaCeO2 at its relaxed geometry.

Total moment: 0.248 μB per atom
Density of states at the Fermi level: 4.87 states/eV/f.u.
Energy relative to the elements, uncorrected: -2.665 eV/atom
SG: No. 160

Cell lengths 6.516, 6.516, 6.516 Å; angles 31.52, 31.52, 31.52 degrees
Fractional positions:
La 0.000 0.000 0.000
Ce 0.824 0.824 0.824
O 0.241 0.241 0.241
O 0.415 0.415 0.415

# 5
The following is a DFT calculation (GGA-PBE) of crystalline LaCe2O at its relaxed geometry.

Total moment: 0.102 μB per atom
Density of states at the Fermi level: 9.30 states/eV/f.u.
Energy relative to the elements, uncorrected: -1.158 eV/atom
SG: No. 166

Cell lengths 9.452, 9.452, 9.452 Å; angles 21.28, 21.28, 21.28 degrees
Fractional positions:
La 0.000 0.000 0.000
Ce 0.116 0.116 0.116
Ce 0.884 0.884 0.884
O 0.500 0.500 0.500

# 6
The following is a DFT calculation (GGA-PBE) of crystalline La3CeO4 at its relaxed geometry.

Total moment: 0.039 μB per atom
Density of states at the Fermi level: 5.67 states/eV/f.u.
Energy relative to the elements, uncorrected: -2.854 eV/atom
SG: No. 13

Cell lengths 6.275, 7.202, 6.277 Å; angles 90.00, 109.25, 90.00 degrees
Fractional positions:
La 0.000 0.124 0.250
La 0.000 0.374 0.750
La 0.000 0.626 0.250
La 0.000 0.876 0.750
La 0.500 0.374 0.250
La 0.500 0.626 0.750
Ce 0.500 0.124 0.750
Ce 0.500 0.876 0.250
O 0.258 0.369 0.506
O 0.258 0.631 0.006
O 0.260 0.120 0.000
O 0.260 0.880 0.500
O 0.740 0.120 0.500
O 0.740 0.880 0.000
O 0.742 0.369 0.994
O 0.742 0.631 0.494

# 7
The following is a DFT calculation (GGA-PBE) of crystalline LaCeO2 at its relaxed geometry.

Total moment: 0.000 μB per atom
Density of states at the Fermi level: 3.99 states/eV/f.u.
Energy relative to the elements, uncorrected: -2.851 eV/atom
SG: No. 141

Cell lengths 6.203, 6.203, 6.203 Å; angles 131.66, 131.66, 70.76 degrees
Fractional positions:
La 0.375 0.625 0.750
La 0.625 0.375 0.250
Ce 0.125 0.875 0.250
Ce 0.875 0.125 0.750
O 0.121 0.371 0.750
O 0.371 0.121 0.250
O 0.629 0.879 0.750
O 0.879 0.629 0.250

# 8
The following is a DFT calculation (GGA-PBE) of crystalline LaCePaO6 at its relaxed geometry.

Total moment: 0.000 μB per atom
Energy relative to the elements, uncorrected: -3.366 eV/atom
SG: No. 149

Cell lengths 5.970, 5.970, 4.699 Å; angles 90.00, 90.00, 120.00 degrees
Fractional positions:
La 0.000 0.000 0.000
Ce 0.333 0.667 0.000
Pa 0.667 0.333 0.500
O 0.362 0.011 0.247
O 0.362 0.351 0.753
O 0.649 0.011 0.753
O 0.649 0.638 0.247
O 0.989 0.351 0.247
O 0.989 0.638 0.753